## A
The following is a DFT calculation (PBE) of SmHoZn4 after structural relaxation.

The structure in CIF format:
```
data_SmHoZn4
_chemical_formula_sum 'Sm1 Ho1 Zn4'
_cell_length_a 3.5076
_cell_length_b 4.4872
_cell_length_c 7.7794
_cell_angle_alpha 90.00
_cell_angle_beta 90.00
_cell_angle_gamma 90.00
_symmetry_space_group_name_H-M 'P m m m'
_symmetry_Int_Tables_number 47
loop_
_symmetry_equiv_pos_as_xyz
'x,y,z'
'-x,-y,-z'
'-x,-y,z'
'x,y,-z'
'x,-y,-z'
'-x,y,z'
'-x,y,-z'
'x,-y,z'
loop_
_atom_site_label
_atom_site_type_symbol
_atom_site_fract_x
_atom_site_fract_y
_atom_site_fract_z
Sm1 Sm 0.0000 0.0000 0.0000
Ho1 Ho 0.0000 0.5000 0.5000
Zn1 Zn 0.5000 0.0000 0.3373
Zn2 Zn 0.5000 0.5000 0.1712
```



## B
The following is a DFT calculation (PBE) of SmHoZn4 after structural relaxation.

The structure in CIF format:
```
data_SmHoZn4
_chemical_formula_sum 'Sm2 Ho2 Zn8'
_cell_length_a 4.4958
_cell_length_b 7.1539
_cell_length_c 7.5576
_cell_angle_alpha 90.00
_cell_angle_beta 90.00
_cell_angle_gamma 90.00
_symmetry_space_group_name_H-M 'I m m 2'
_symmetry_Int_Tables_number 44
loop_
_symmetry_equiv_pos_as_xyz
'x,y,z'
'-x,-y,z'
'-x,y,z'
'x,-y,z'
'x+1/2,y+1/2,z+1/2'
'-x+1/2,-y+1/2,z+1/2'
'-x+1/2,y+1/2,z+1/2'
'x+1/2,-y+1/2,z+1/2'
loop_
_atom_site_label
_atom_site_type_symbol
_atom_site_fract_x
_atom_site_fract_y
_atom_site_fract_z
Sm1 Sm 0.0000 0.0000 0.0000
Ho1 Ho 0.0000 0.5000 0.0604
Zn1 Zn 0.0000 0.2048 0.3682
Zn2 Zn 0.0000 0.2935 0.6998
```



The energy of each structure relative to the most stable one, in eV/atom, is as follows: A 0.011; B 0.000.



## A
The following is a DFT calculation (PBE) of HoTaZn after structural relaxation.

The structure in CIF format:
```
data_HoTaZn
_chemical_formula_sum 'Ho4 Ta4 Zn4'
_cell_length_a 6.4506
_cell_length_b 6.4506
_cell_length_c 6.4506
_cell_angle_alpha 90.00
_cell_angle_beta 90.00
_cell_angle_gamma 90.00
_symmetry_space_group_name_H-M 'F -4 3 m'
_symmetry_Int_Tables_number 216
_symmetry_space_group_name_Hall 'F -4 2 3'
loop_
_atom_site_label
_atom_site_type_symbol
_atom_site_fract_x
_atom_site_fract_y
_atom_site_fract_z
Ho1 Ho 0.0000 0.0000 0.0000
Ta1 Ta 0.0000 0.0000 0.5000
Zn1 Zn 0.2500 0.2500 0.2500
```



## B
The following is a DFT calculation (PBE) of HoTaZn after structural relaxation.

The structure in CIF format:
```
data_HoTaZn
_chemical_formula_sum 'Ho4 Ta4 Zn4'
_cell_length_a 6.7102
_cell_length_b 6.7102
_cell_length_c 6.7102
_cell_angle_alpha 90.00
_cell_angle_beta 90.00
_cell_angle_gamma 90.00
_symmetry_space_group_name_H-M 'F -4 3 m'
_symmetry_Int_Tables_number 216
_symmetry_space_group_name_Hall 'F -4 2 3'
loop_
_atom_site_label
_atom_site_type_symbol
_atom_site_fract_x
_atom_site_fract_y
_atom_site_fract_z
Ho1 Ho 0.0000 0.0000 0.0000
Ta1 Ta 0.2500 0.2500 0.2500
Zn1 Zn 0.2500 0.2500 0.7500
```



The energy of each structure relative to the most stable one, in eV/atom, is as follows: A 0.000; B 0.744.



## A
The following is a DFT calculation (PBE) of TbHo after structural relaxation.

The structure in CIF format:
```
data_TbHo
_chemical_formula_sum 'Tb2 Ho2'
_cell_length_a 3.6161
_cell_length_b 3.6161
_cell_length_c 10.3833
_cell_angle_alpha 90.00
_cell_angle_beta 90.00
_cell_angle_gamma 120.00
_symmetry_space_group_name_H-M 'P 63/m m c'
_symmetry_Int_Tables_number 194
_symmetry_space_group_name_Hall '-P 6c 2c'
loop_
_atom_site_label
_atom_site_type_symbol
_atom_site_fract_x
_atom_site_fract_y
_atom_site_fract_z
Tb1 Tb 0.3333 0.6667 0.2500
Ho1 Ho 0.0000 0.0000 0.0000
```



## B
The following is a DFT calculation (PBE) of TbHo after structural relaxation.

The structure in CIF format:
```
data_TbHo
_chemical_formula_sum 'Tb4 Ho4'
_cell_length_a 6.9123
_cell_length_b 6.9123
_cell_length_c 6.9123
_cell_angle_alpha 90.00
_cell_angle_beta 90.00
_cell_angle_gamma 90.00
_symmetry_space_group_name_H-M 'F -4 3 m'
_symmetry_Int_Tables_number 216
_symmetry_space_group_name_Hall 'F -4 2 3'
loop_
_atom_site_label
_atom_site_type_symbol
_atom_site_fract_x
_atom_site_fract_y
_atom_site_fract_z
Tb1 Tb 0.0000 0.0000 0.0000
Ho1 Ho 0.2500 0.2500 0.2500
```



The energy of each structure relative to the most stable one, in eV/atom, is as follows: A 0.000; B 1.856.